# GGA-PBE La8Y6Mg, optimized geometry
# Crystal system = trigonal
# M_tot = 0.000 Bohr magnetons per cell
# Electronic total energy = -237.9 eV/cell
# Energy relative to the elements = 0.492 eV/f.u.
# Fermi-level density of states = 25.08 states/eV/f.u.
data_La8Y6Mg
_chemical_formula_sum 'La24 Y18 Mg3'
_cell_length_a 6.3041
_cell_length_b 6.3041
_cell_length_c 44.9750
_cell_angle_alpha 90.00
_cell_angle_beta 90.00
_cell_angle_gamma 120.00
_space_group_name_H-M_alt 'R -3'
_space_group_IT_number 148
_space_group_name_Hall '-R 3'
loop_
_atom_site_label
_atom_site_type_symbol
_atom_site_fract_x
_atom_site_fract_y
_atom_site_fract_z
La1 La 0.0000 0.0000 0.1666
La2 La 0.0003 0.3323 0.6307
Y1 Y 0.0005 0.3311 0.4350
Mg1 Mg 0.0000 0.0000 0.5000